A relaxed Zr4GeP crystal. Source: Alexandria, functional PBE.

* crystal system: monoclinic
* spin magnetization: 0.0 μB/cell
* uncorrected energy: -95.42 eV for the cell shown
* polymorph energy (0 for the lowest one): 311 meV per atom

a b c (Å): 6.323 6.423 6.408
angles (deg): 90.00 92.35 90.00
Space group P2_1/c (No. 14)
Symmetry-distinct sites (fractional):
Zr: 0.132 0.149 0.156 x4
Zr: 0.354 0.639 0.127 x4
Ge: 0.500 0.000 0.000 x2
P: 0.000 0.000 0.500 x2

A relaxed ZrGe2P crystal. Source: Alexandria, functional PBE.

* crystal system: tetragonal
* spin magnetization: 0.0 μB/cell
* uncorrected energy: -93.92 eV for the cell shown

a b c (Å): 7.410 7.410 5.433
angles (deg): 90.00 90.00 90.00
Space group I-42d (No. 122)
Symmetry-distinct sites (fractional):
Zr: 0.000 0.000 0.000 x4
Ge: 0.220 0.750 0.625 x8
P: 0.000 0.000 0.500 x4

A relaxed Zr2GeP crystal. Source: Alexandria, functional PBE.

* crystal system: tetragonal
* spin magnetization: 0.0 μB/cell
* uncorrected energy: -112.07 eV for the cell shown
* polymorph energy (0 for the lowest one): 817 meV per atom

a b c (Å): 5.989 5.989 12.043
angles (deg): 90.00 90.00 90.00
Space group I-42d (No. 122)
Symmetry-distinct sites (fractional):
Zr: 0.237 0.250 0.125 x8
Ge: 0.000 0.000 0.500 x4
P: 0.000 0.000 0.000 x4

A relaxed Zr2GeP crystal. Source: Alexandria, functional PBE.

* crystal system: cubic
* spin magnetization: 0.0 μB/cell
* uncorrected energy: -118.06 eV for the cell shown
* polymorph energy (0 for the lowest one): 443 meV per atom

a b c (Å): 6.648 6.648 6.648
angles (deg): 90.00 90.00 90.00
Space group Fm-3m (No. 225)
Symmetry-distinct sites (fractional):
Zr: 0.250 0.250 0.250 x8
Ge: 0.000 0.000 0.000 x4
P: 0.000 0.000 0.500 x4